8
Lattice="3.372 0.000 0.000 -1.686 2.920 0.000 0.000 0.000 12.722" Properties=species:S:1:pos:R:3 comment="Zr4FeC2S | OQMD via LeMat-Bulk | GGA-PBE | optimized geometry" energy_ev_per_atom=-8.93 magnetic_moment_mub_per_cell=1.79 vol_a3_per_fu=125.25 pbc="T T T"
Zr 1.686 0.973 10.777
C 0.000 1.947 9.446
S 1.686 0.973 6.361
Zr 1.686 0.973 1.945
C 0.000 1.947 3.276
Fe 0.000 0.000 0.000
Zr 0.000 0.000 8.211
Zr 0.000 0.000 4.511

=====

8
Lattice="3.544 0.000 0.000 -1.772 3.069 0.000 0.000 0.000 14.525" Properties=species:S:1:pos:R:3 comment="Tm4FeSbC2 | OQMD via LeMat-Bulk | GGA-PBE | optimized geometry" energy_ev_per_atom=-6.39 magnetic_moment_mub_per_cell=1.93 vol_a3_per_fu=157.97 pbc="T T T"
Tm 0.000 0.000 4.754
Sb 0.000 2.046 7.263
C 1.772 1.023 3.488
Tm 0.000 2.046 2.115
Tm 0.000 2.046 12.410
C 1.772 1.023 11.037
Fe 0.000 0.000 0.000
Tm 0.000 0.000 9.771